Entry from Alexandria: an optimized crystal structure of BaSrCoO2 (PBE with a Hubbard U). Values from VASP.

Summary:
* final energy: -3.71 eV/atom

```
&SYSTEM
  ibrav = 0, nat = 5, ntyp = 4
/
ATOMIC_SPECIES
Ba 137.33 Ba.upf
Sr 87.62 Sr.upf
Co 58.93 Co.upf
O 16.00 O.upf
CELL_PARAMETERS angstrom
4.621 0.000 0.000
0.000 4.621 0.000
0.000 0.000 8.363
ATOMIC_POSITIONS angstrom
Ba 0.000 0.000 0.000
Sr 0.000 0.000 4.182
Co 2.311 2.311 4.182
O 0.000 2.311 0.000
O 2.311 0.000 0.000
```